# Mn2OF3 GGA+U optimized geometry
# distance to the lowest polymorph of the same formula = 0.019 eV/atom
# crystal system = monoclinic
# calculated density = 4.04 g/cm³
# uncorrected energy = -39.30 eV per formula unit
# magnetic moment = 9.00 μB per formula unit
data_Mn2OF3
_space_group_name_H-M_alt 'C 1 2/m 1'
_space_group_IT_number 12
_space_group_name_Hall '-C 2y'
_cell_length_a 19.548
_cell_length_b 6.321
_cell_length_c 4.873
_cell_angle_alpha 90.00
_cell_angle_beta 92.08
_cell_angle_gamma 90.00
loop_
_atom_site_label
_atom_site_type_symbol
_atom_site_fract_x
_atom_site_fract_y
_atom_site_fract_z
Mn1 Mn 0.000 0.000 0.000
Mn2 Mn 0.000 0.500 0.000
Mn3 Mn 0.125 0.245 0.500
Mn4 Mn 0.241 0.500 0.964
O1 O 0.082 0.000 0.326
O2 O 0.167 0.500 0.669
F1 F 0.051 0.249 0.796
F2 F 0.074 0.500 0.300
F3 F 0.180 0.000 0.715
F4 F 0.199 0.250 0.203

---

# Mn2O3F GGA+U optimized geometry
# distance to the lowest polymorph of the same formula = 0.016 eV/atom
# crystal system = orthorhombic
# calculated density = 3.83 g/cm³
# uncorrected energy = -41.32 eV per formula unit
# magnetic moment = 7.00 μB per formula unit
data_Mn2O3F
_space_group_name_H-M_alt 'P n m a'
_space_group_IT_number 62
_space_group_name_Hall '-P 2ac 2n'
_cell_length_a 5.795
_cell_length_b 6.409
_cell_length_c 8.263
_cell_angle_alpha 90.00
_cell_angle_beta 90.00
_cell_angle_gamma 90.00
loop_
_atom_site_label
_atom_site_type_symbol
_atom_site_fract_x
_atom_site_fract_y
_atom_site_fract_z
Mn1 Mn 0.000 0.000 0.000
Mn2 Mn 0.209 0.250 0.252
O1 O 0.039 0.549 0.767
O2 O 0.194 0.250 0.021
F1 F 0.218 0.250 0.488

---

# Mn2O3F GGA+U optimized geometry
# distance to the lowest polymorph of the same formula = 0.007 eV/atom
# crystal system = orthorhombic
# calculated density = 4.62 g/cm³
# uncorrected energy = -41.37 eV per formula unit
# magnetic moment = 7.00 μB per formula unit
data_Mn2O3F
_space_group_name_H-M_alt 'A m m 2'
_space_group_IT_number 38
_space_group_name_Hall 'A 2 -2'
_cell_length_a 12.113
_cell_length_b 6.332
_cell_length_c 6.636
_cell_angle_alpha 90.00
_cell_angle_beta 90.00
_cell_angle_gamma 90.00
loop_
_atom_site_label
_atom_site_type_symbol
_atom_site_fract_x
_atom_site_fract_y
_atom_site_fract_z
Mn1 Mn 0.000 0.000 0.000
Mn2 Mn 0.124 0.000 0.474
Mn3 Mn 0.250 0.000 0.955
Mn4 Mn 0.374 0.000 0.488
Mn5 Mn 0.500 0.000 0.957
O1 O 0.000 0.000 0.288
O2 O 0.125 0.192 0.981
O3 O 0.250 0.000 0.665
O4 O 0.375 0.194 0.965
O5 O 0.500 0.000 0.667
F1 F 0.000 0.000 0.698
F2 F 0.257 0.000 0.263
F3 F 0.500 0.000 0.280

---

# Mn3O4F2 GGA+U optimized geometry
# distance to the lowest polymorph of the same formula = 0.014 eV/atom
# crystal system = monoclinic
# calculated density = 4.42 g/cm³
# uncorrected energy = -61.55 eV per formula unit
# magnetic moment = 11.00 μB per formula unit
data_Mn3O4F2
_space_group_name_H-M_alt 'C 1 m 1'
_space_group_IT_number 8
_space_group_name_Hall 'C -2y'
_cell_length_a 9.152
_cell_length_b 6.292
_cell_length_c 7.743
_cell_angle_alpha 90.00
_cell_angle_beta 115.87
_cell_angle_gamma 90.00
loop_
_atom_site_label
_atom_site_type_symbol
_atom_site_fract_x
_atom_site_fract_y
_atom_site_fract_z
Mn1 Mn 0.000 0.000 0.000
Mn2 Mn 0.004 0.000 0.479
Mn3 Mn 0.167 0.500 0.670
Mn4 Mn 0.181 0.500 0.137
Mn5 Mn 0.344 0.000 0.318
Mn6 Mn 0.348 0.000 0.826
O1 O 0.005 0.302 0.493
O2 O 0.072 0.500 0.871
O3 O 0.175 0.195 0.152
O4 O 0.343 0.307 0.822
O5 O 0.402 0.500 0.182
F1 F 0.118 0.000 0.787
F2 F 0.229 0.000 0.518
F3 F 0.276 0.500 0.430
F4 F 0.465 0.000 0.134

---

# Mn8O13F3 GGA+U optimized geometry
# distance to the lowest polymorph of the same formula = 0.025 eV/atom
# crystal system = triclinic
# calculated density = 4.70 g/cm³
# uncorrected energy = -166.17 eV per formula unit
# magnetic moment = 27.00 μB per formula unit
data_Mn8O13F3
_space_group_name_H-M_alt 'P 1'
_space_group_IT_number 1
_space_group_name_Hall 'P 1'
_cell_length_a 5.530
_cell_length_b 6.716
_cell_length_c 6.741
_cell_angle_alpha 95.78
_cell_angle_beta 90.81
_cell_angle_gamma 90.31
loop_
_atom_site_label
_atom_site_type_symbol
_atom_site_fract_x
_atom_site_fract_y
_atom_site_fract_z
Mn1 Mn 0.000 0.000 0.000
Mn2 Mn 0.004 0.510 0.505
Mn3 Mn 0.168 0.502 0.007
Mn4 Mn 0.225 0.989 0.495
Mn5 Mn 0.500 0.254 0.265
Mn6 Mn 0.505 0.745 0.745
Mn7 Mn 0.701 0.242 0.748
Mn8 Mn 0.719 0.761 0.263
O1 O 0.235 0.455 0.284
O2 O 0.240 0.546 0.728
O3 O 0.252 0.043 0.219
O4 O 0.253 0.950 0.778
O5 O 0.467 0.199 0.530
O6 O 0.467 0.790 0.470
O7 O 0.743 0.962 0.796
O8 O 0.745 0.036 0.207
O9 O 0.746 0.475 0.303
O10 O 0.746 0.526 0.703
O11 O 0.960 0.729 0.059
O12 O 0.963 0.270 0.945
O13 O 0.968 0.787 0.462
F1 F 0.464 0.303 0.985
F2 F 0.476 0.703 0.039
F3 F 0.989 0.212 0.535

---

# Mn8O13F3 GGA+U optimized geometry
# distance to the lowest polymorph of the same formula = 0.000 eV/atom
# crystal system = monoclinic
# calculated density = 4.60 g/cm³
# uncorrected energy = -166.77 eV per formula unit
# magnetic moment = 26.99 μB per formula unit
data_Mn8O13F3
_space_group_name_H-M_alt 'P 1 m 1'
_space_group_IT_number 6
_space_group_name_Hall 'P -2y'
_cell_length_a 4.595
_cell_length_b 5.983
_cell_length_c 9.264
_cell_angle_alpha 90.00
_cell_angle_beta 93.92
_cell_angle_gamma 90.00
loop_
_atom_site_label
_atom_site_type_symbol
_atom_site_fract_x
_atom_site_fract_y
_atom_site_fract_z
Mn1 Mn 0.000 0.000 0.000
Mn2 Mn 0.001 0.500 0.499
Mn3 Mn 0.035 0.000 0.485
Mn4 Mn 0.466 0.251 0.764
Mn5 Mn 0.530 0.243 0.238
Mn6 Mn 0.993 0.500 0.003
O1 O 0.205 0.251 0.092
O2 O 0.206 0.250 0.594
O3 O 0.282 0.500 0.848
O4 O 0.284 0.000 0.851
O5 O 0.335 0.000 0.328
O6 O 0.711 0.000 0.149
O7 O 0.715 0.500 0.151
O8 O 0.798 0.251 0.904
O9 O 0.809 0.248 0.401
F1 F 0.331 0.500 0.334
F2 F 0.674 0.000 0.668
F3 F 0.682 0.500 0.664